1.
# Hf3ScCu

A relaxed Hf3ScCu crystal (PBE, the Alexandria database).

The structure in extended XYZ format:
```
5
Lattice="4.907 0.000 0.000 0.000 4.907 0.000 0.000 0.000 4.907" Properties=species:S:1:pos:R:3 pbc="T T T"
Sc 2.453 2.453 2.453
Hf 2.453 0.000 0.000
Hf 0.000 2.453 0.000
Hf 0.000 0.000 2.453
Cu 0.000 0.000 0.000
```

Properties
For the total energy, the calculation gives -7.569 eV per atom. Its distance to the lowest polymorph of the same formula is 0.0 meV per atom. For the volume, the calculation gives 23.63 Å³/atom. For the density of states at the Fermi level, the calculation gives 5.1 states/eV/f.u.

=====

2.
# LiMo3

A relaxed LiMo3 crystal (PBE, the Alexandria database).

The structure in extended XYZ format:
```
4
Lattice="4.477 0.010 0.000 0.418 4.457 0.000 -2.448 -2.234 3.010" Properties=species:S:1:pos:R:3 pbc="T T T"
Mo 2.448 2.234 0.000
Mo 0.209 2.229 1.505
Mo 2.238 0.005 1.505
Li 0.000 0.000 0.000
```

Properties
For the total energy, the calculation gives -8.214 eV per atom. Its distance to the lowest polymorph of the same formula is 155.2 meV per atom. For the volume, the calculation gives 15.01 Å³/atom. For the density of states at the Fermi level, the calculation gives 4.1 states/eV/f.u.

=====

3.
# KScAl2

A relaxed KScAl2 crystal (PBE, the Alexandria database).

The structure in extended XYZ format:
```
4
Lattice="10.825 0.017 0.010 10.330 3.236 0.010 10.330 1.588 2.820" Properties=species:S:1:pos:R:3 pbc="T T T"
Al 15.405 2.369 1.389
Al 0.338 0.052 0.030
Sc 23.615 3.631 2.129
K 7.872 1.210 0.710
```

Properties
For the total energy, the calculation gives -3.549 eV per atom. Its distance to the lowest polymorph of the same formula is 201.3 meV per atom. For the volume, the calculation gives 24.49 Å³/atom. For the density of states at the Fermi level, the calculation gives 2.7 states/eV/f.u.